Entry 1:
A plane-wave DFT calculation with PBE+U was carried out for a relaxed Ti2VPb3O9 crystal.

- DOS at the Fermi energy: 0.21 states/eV/atom
- Mass density: 8.13 g cm⁻³
- Raw total energy: -109.6 eV per cell

Cell: 5.5957 5.5957 6.8682 Å, 90.00 90.00 120.00°
Space group P-3m1 (No. 164)
Symmetry-distinct sites (fractional):
Ti: 0.3333 0.6667 0.1684 [2 per cell]
V: 0.0000 0.0000 0.5000 [1 per cell]
Pb: 0.0000 0.0000 0.0000 [1 per cell]
Pb: 0.3333 0.6667 0.6683 [2 per cell]
O: 0.0000 0.5000 0.0000 [3 per cell]
O: 0.1657 0.3313 0.3345 [6 per cell]

---

Entry 2:
A plane-wave DFT calculation with PBE+U was carried out for a relaxed TiV2PbO8 crystal.

- DOS at the Fermi energy: 0.00 states/eV/atom
- Mass density: 4.37 g cm⁻³
- Raw total energy: -90.8 eV per cell

Cell: 5.5994 5.5994 6.7930 Å, 90.00 90.00 120.00°
Space group P-3 (No. 147)
Symmetry-distinct sites (fractional):
Ti: 0.0000 0.0000 0.0000 [1 per cell]
V: 0.3333 0.6667 0.2551 [2 per cell]
Pb: 0.0000 0.0000 0.5000 [1 per cell]
O: 0.1579 0.3189 0.1768 [6 per cell]
O: 0.3333 0.6667 0.5004 [2 per cell]

---

Entry 3:
A plane-wave DFT calculation with PBE+U was carried out for a relaxed TiPb2WO6 crystal.

- DOS at the Fermi energy: 0.13 states/eV/atom
- Mass density: 9.13 g cm⁻³
- Raw total energy: -71.4 eV per cell

Cell: 5.778 5.778 4.044 Å, 90.00 90.00 90.00°
Space group P4mm (No. 99)
Symmetry-distinct sites (fractional):
Ti: 0.000 0.000 0.000 [1 per cell]
Pb: 0.000 0.500 0.449 [2 per cell]
W: 0.500 0.500 0.030 [1 per cell]
O: 0.000 0.000 0.556 [1 per cell]
O: 0.243 0.243 0.063 [4 per cell]
O: 0.500 0.500 0.535 [1 per cell]

---

Entry 4:
A plane-wave DFT calculation with PBE+U was carried out for a relaxed TiPbWO6 crystal.

- DOS at the Fermi energy: 0.00 states/eV/atom
- Mass density: 6.87 g cm⁻³
- Raw total energy: -136.9 eV per cell

Cell: 5.2508 5.2508 10.8336 Å, 90.00 90.00 120.00°
Space group P-31c (No. 163)
Symmetry-distinct sites (fractional):
Ti: 0.3333 0.6667 0.2500 [2 per cell]
Pb: 0.0000 0.0000 0.0000 [2 per cell]
W: 0.3333 0.6667 0.7500 [2 per cell]
O: 0.0036 0.3846 0.6492 [12 per cell]